Computed, not measured: an optimized crystal structure of CuSb at the PBE level of DFT.

raw total energy	-3.82	eV/atom
density of states at the Fermi level	0.97	states/eV/f.u.
space group	R-3m
raw formation energy	0.58	eV per formula unit

The structure in extended XYZ format:
```
4
Lattice="8.260 -0.256 -0.151 7.641 3.147 -0.151 7.641 1.389 2.828" Properties=species:S:1:pos:R:3 pbc="T T T"
Cu 0.252 0.046 0.027
Cu 17.405 3.165 1.867
Sb 11.294 2.054 1.212
Sb 6.363 1.157 0.683
```

Computed, not measured: an optimized crystal structure of BeAl2Ni at the PBE level of DFT.

raw total energy	-4.45	eV/atom
density of states at the Fermi level	1.13	states/eV/f.u.
space group	Imm2
energy relative to the elements	-0.203	eV per atom

The structure in extended XYZ format:
```
4
Lattice="-3.409 3.297 -1.546 -3.403 1.757 3.195 4.810 -0.506 -1.220" Properties=species:S:1:pos:R:3 pbc="T T T"
Ni -1.120 1.978 1.429
Al -0.138 0.103 0.033
Al -0.922 2.599 -0.990
Be -3.229 2.395 0.782
```

Computed, not measured: an optimized crystal structure of CaScAl at the PBE level of DFT.

raw total energy	-4.21	eV/atom
density of states at the Fermi level	0.28	states/eV/f.u.
space group	Pnma
energy relative to the elements	-0.182	eV per atom
energy relative to the lowest polymorph listed for this composition	0.00	eV/f.u.

The structure in extended XYZ format:
```
12
Lattice="6.885 0.000 0.000 0.000 5.040 0.000 0.000 0.000 8.801" Properties=species:S:1:pos:R:3 pbc="T T T"
Sc 1.347 1.260 3.705
Sc 2.096 3.780 8.105
Sc 5.538 3.780 5.096
Sc 4.789 1.260 0.696
Ca 0.059 1.260 6.871
Ca 3.383 3.780 2.470
Ca 6.826 3.780 1.930
Ca 3.502 1.260 6.331
Al 5.229 1.260 3.616
Al 5.098 3.780 8.016
Al 1.656 3.780 5.185
Al 1.787 1.260 0.785
```

Computed, not measured: an optimized crystal structure of La5SmAl2 at the PBE level of DFT.

raw total energy	-4.66	eV/atom
density of states at the Fermi level	13.34	states/eV/f.u.
space group	P6_3/mmc
energy relative to the elements	-0.056	eV per atom

The structure in extended XYZ format:
```
16
Lattice="5.502 0.000 0.000 -2.751 4.765 0.000 0.000 0.000 20.493" Properties=species:S:1:pos:R:3 pbc="T T T"
La 0.000 0.000 7.097
La 0.000 0.000 3.150
La 2.751 1.588 5.123
La 0.000 0.000 17.343
La 2.751 1.588 1.125
La 0.000 3.177 15.370
La 0.000 3.177 19.368
La 0.000 3.177 11.372
La 2.751 1.588 9.121
La 0.000 0.000 13.396
Sm 0.000 3.177 5.123
Sm 2.751 1.588 15.370
Al 2.751 1.588 12.314
Al 0.000 3.177 2.067
Al 0.000 3.177 8.179
Al 2.751 1.588 18.426
```

Computed, not measured: an optimized crystal structure of Pm2BeGe at the PBE level of DFT.

raw total energy	-4.53	eV/atom
density of states at the Fermi level	2.35	states/eV/f.u.
space group	Immm
energy relative to the elements	-0.065	eV per atom
energy relative to the lowest polymorph listed for this composition	0.77	eV/f.u.

The structure in extended XYZ format:
```
8
Lattice="-0.367 4.161 -0.334 -4.134 -1.030 -8.298 -3.107 -2.030 4.421" Properties=species:S:1:pos:R:3 pbc="T T T"
Pm -3.552 -0.586 -3.401
Pm -4.056 1.686 -0.810
Pm -1.485 -0.072 0.749
Pm -6.123 1.172 -4.959
Be -3.468 3.388 -6.557
Be -1.034 -0.258 -2.075
Ge -1.217 1.823 -2.241
Ge -3.284 1.308 -6.390
```

Computed, not measured: an optimized crystal structure of Hf2ScMo at the PBE level of DFT.

raw total energy	-8.74	eV/atom
density of states at the Fermi level	3.62	states/eV/f.u.
space group	I-42d
energy relative to the elements	0.530	eV per atom
energy relative to the lowest polymorph listed for this composition	2.06	eV/f.u.

The structure in extended XYZ format:
```
8
Lattice="-1.103 4.959 -5.746 -7.289 -2.311 -0.595 -5.009 3.388 -1.233" Properties=species:S:1:pos:R:3 pbc="T T T"
Sc -4.196 1.324 -3.170
Sc -8.247 1.201 -2.499
Mo 0.000 0.000 0.000
Mo -5.154 4.836 -5.075
Hf -2.890 3.824 -4.166
Hf -5.909 -0.144 -1.206
Hf -6.659 3.612 -3.282
Hf -11.345 4.781 -6.493
```

Computed, not measured: an optimized crystal structure of Tb4GaFe at the PBE level of DFT.

raw total energy	-5.20	eV/atom
density of states at the Fermi level	6.29	states/eV/f.u.
space group	C2/c
energy relative to the elements	-0.198	eV per atom

The structure in extended XYZ format:
```
12
Lattice="5.969 0.302 -1.118 -2.044 6.773 -2.544 0.192 -0.195 7.513" Properties=species:S:1:pos:R:3 pbc="T T T"
Tb 4.270 4.394 3.302
Tb -1.628 6.332 -0.387
Tb 3.182 1.543 1.569
Tb 1.267 5.050 -1.919
Tb 2.850 1.831 5.769
Tb 0.934 5.337 2.282
Tb 5.745 0.549 4.237
Tb -0.153 2.486 0.549
Ga 3.270 4.389 0.386
Ga 0.846 2.491 3.465
Fe -0.550 6.840 -2.811
Fe 4.666 0.041 6.662
```

Computed, not measured: an optimized crystal structure of ZrBe2Cl at the PBE level of DFT.

raw total energy	-4.19	eV/atom
density of states at the Fermi level	2.98	states/eV/f.u.
space group	R-3m
raw formation energy	1.10	eV per formula unit
energy relative to the lowest polymorph listed for this composition	2.19	eV/f.u.

The structure in extended XYZ format:
```
4
Lattice="-0.523 -6.663 -4.460 1.361 -7.599 -2.225 -1.677 -7.650 -1.793" Properties=species:S:1:pos:R:3 pbc="T T T"
Be -0.830 -21.694 -8.393
Be -0.427 -11.175 -4.323
Zr -0.629 -16.435 -6.358
Cl -0.210 -5.478 -2.119
```

Computed, not measured: an optimized crystal structure of AlCuSe2 at the PBE level of DFT.

raw total energy	-4.12	eV/atom
density of states at the Fermi level	1.42	states/eV/f.u.
space group	R-3m
raw formation energy	-1.69	eV per formula unit

The structure in extended XYZ format:
```
4
Lattice="-1.497 1.672 -6.097 -1.488 -2.033 -5.989 -4.431 -0.150 -4.750" Properties=species:S:1:pos:R:3 pbc="T T T"
Se -7.393 -0.509 -16.786
Se -3.730 -0.257 -8.468
Cu -5.562 -0.383 -12.627
Al -1.854 -0.128 -4.209
```

Computed, not measured: an optimized crystal structure of Ta2AsRu at the PBE level of DFT.

raw total energy	-9.57	eV/atom
density of states at the Fermi level	2.42	states/eV/f.u.
space group	C2/m
energy relative to the elements	-0.167	eV per atom

The structure in extended XYZ format:
```
4
Lattice="4.644 -0.023 -0.006 -3.284 5.246 0.036 0.274 1.595 2.718" Properties=species:S:1:pos:R:3 pbc="T T T"
Ru 2.459 0.786 1.356
As 0.680 2.612 0.015
Ta 0.000 0.000 0.000
Ta -1.505 3.420 1.377
```

Computed, not measured: an optimized crystal structure of Dy4MgSc at the PBE level of DFT.

raw total energy	-4.39	eV/atom
density of states at the Fermi level	8.41	states/eV/f.u.
space group	P4/mmm
energy relative to the elements	0.003	eV per atom
energy relative to the lowest polymorph listed for this composition	0.00	eV/f.u.

The structure in extended XYZ format:
```
6
Lattice="-0.911 -1.726 2.907 -2.257 -1.930 -1.854 10.172 -9.523 -2.469" Properties=species:S:1:pos:R:3 pbc="T T T"
Dy 6.912 -9.782 -1.536
Dy 0.092 -3.398 0.119
Dy 3.544 -9.941 -0.577
Dy 3.460 -3.239 -0.840
Mg 3.502 -6.590 -0.708
Sc 0.000 0.000 0.000
```

Computed, not measured: an optimized crystal structure of Ba2AgMo at the PBE level of DFT.

raw total energy	-3.79	eV/atom
density of states at the Fermi level	3.83	states/eV/f.u.
space group	R3m
energy relative to the elements	0.597	eV per atom
energy relative to the lowest polymorph listed for this composition	0.00	eV/f.u.

The structure in extended XYZ format:
```
4
Lattice="9.075 0.003 0.002 7.868 4.521 0.002 7.868 2.101 4.003" Properties=species:S:1:pos:R:3 pbc="T T T"
Ag 19.646 5.245 3.172
Ba 0.953 0.254 0.154
Ba 5.252 1.402 0.848
Mo 11.367 3.035 1.835
```

Computed, not measured: an optimized crystal structure of Na2ZrGeS4 at the PBE level of DFT.

raw total energy	-5.17	eV/atom
density of states at the Fermi level	0.16	states/eV/f.u.
space group	P2/m
raw formation energy	-9.08	eV per formula unit

The structure in extended XYZ format:
```
8
Lattice="-1.479 -1.808 -3.027 -3.365 -4.302 4.214 -6.033 2.697 1.337" Properties=species:S:1:pos:R:3 pbc="T T T"
Na -6.033 2.697 1.337
Na -3.756 0.444 -0.845
Zr -4.699 -0.803 2.776
Ge -2.422 -3.055 0.594
S -6.926 -1.069 4.023
S -3.951 -2.344 -1.498
S -4.770 -3.260 1.863
S -6.107 -0.153 0.661
```

Computed, not measured: an optimized crystal structure of Mg2HgBr at the PBE level of DFT.

raw total energy	-1.47	eV/atom
density of states at the Fermi level	2.33	states/eV/f.u.
space group	I4/mmm
raw formation energy	-0.73	eV per formula unit
energy relative to the lowest polymorph listed for this composition	1.22	eV/f.u.

The structure in extended XYZ format:
```
4
Lattice="5.496 0.000 0.000 1.340 5.330 0.000 -3.418 -2.665 3.380" Properties=species:S:1:pos:R:3 pbc="T T T"
Br 0.670 2.665 1.690
Hg 2.748 0.000 1.690
Mg 0.000 0.000 0.000
Mg 3.418 2.665 0.000
```

Computed, not measured: an optimized crystal structure of Tl3Te4As at the PBE level of DFT.

raw total energy	-3.19	eV/atom
density of states at the Fermi level	1.81	states/eV/f.u.
space group	Pnma
raw formation energy	-1.17	eV per formula unit
energy relative to the lowest polymorph listed for this composition	0.00	eV/f.u.

The structure in extended XYZ format:
```
32
Lattice="-2.394 -0.771 9.254 6.065 -8.405 0.869 9.129 6.891 2.936" Properties=species:S:1:pos:R:3 pbc="T T T"
Tl 9.703 -0.451 6.511
Tl 9.946 -2.832 11.345
Tl 3.097 -1.834 6.548
Tl 2.854 0.547 1.715
Tl 4.438 -6.778 4.805
Tl 5.993 -3.424 10.456
Tl 4.834 1.830 7.120
Tl 10.335 3.802 3.738
Tl 8.362 4.493 8.254
Tl 6.808 1.139 2.604
Tl 7.966 -4.115 5.940
Tl 2.465 -6.087 9.321
Te 10.715 -4.373 3.799
Te 10.209 1.500 9.126
Te -1.286 -0.457 8.176
Te 5.962 -1.241 5.017
Te 2.085 2.088 9.260
Te 2.591 -3.785 3.933
Te 14.086 -1.828 4.883
Te 6.838 -1.044 8.042
Te 7.751 2.582 5.462
Te 6.217 2.664 10.041
Te 5.049 -4.867 7.597
Te 6.584 -4.949 3.018
Te 11.180 -3.045 8.006
Te 10.223 0.327 3.070
Te 1.620 0.760 5.054
Te 2.578 -2.612 9.990
As 6.333 4.707 4.883
As 7.822 0.599 9.895
As 6.467 -6.992 8.177
As 4.978 -2.884 3.165
```

Computed, not measured: an optimized crystal structure of Na4Ho3SnS8 at the PBE level of DFT.

raw total energy	-5.06	eV/atom
density of states at the Fermi level	1.46	states/eV/f.u.
space group	R-3m
raw formation energy	-24.97	eV per formula unit

The structure in extended XYZ format:
```
16
Lattice="-4.841 6.149 -1.336 -5.689 -3.479 4.601 7.238 1.230 3.023" Properties=species:S:1:pos:R:3 pbc="T T T"
Na -2.420 3.074 -0.668
Na 1.199 3.689 0.843
Na 0.000 0.000 0.000
Na 3.619 0.615 1.511
Ho -5.265 1.335 1.633
Ho -1.646 1.950 3.144
Ho 0.774 -1.125 3.812
Sn -2.845 -1.740 2.300
S 1.824 0.173 5.986
S -1.795 -0.441 4.474
S 0.926 1.267 2.476
S -0.597 3.248 5.318
S -2.695 0.651 0.970
S -4.218 2.632 3.812
S -1.497 4.340 1.813
S -5.116 3.726 0.302
```

Computed, not measured: an optimized crystal structure of Rb2MgH6 at the PBE level of DFT.

raw total energy	-2.70	eV/atom
density of states at the Fermi level	0.00	states/eV/f.u.
space group	C2/m

The structure in extended XYZ format:
```
9
Lattice="4.494 0.000 0.153 0.000 6.445 0.000 -1.361 -3.222 5.674" Properties=species:S:1:pos:R:3 pbc="T T T"
Rb 2.725 3.222 2.006
Rb 0.408 0.000 3.822
Mg 0.000 0.000 0.000
H 0.372 1.359 1.313
H 2.761 -1.863 4.515
H 2.761 1.863 4.515
H 2.247 0.386 0.077
H 0.372 5.085 1.313
H 2.247 6.059 0.077
```

Computed, not measured: an optimized crystal structure of ZrZn2Ni9 at the PBE level of DFT.

raw total energy	-5.48	eV/atom
density of states at the Fermi level	12.20	states/eV/f.u.
space group	P4/mmm
energy relative to the elements	-0.215	eV per atom
energy relative to the lowest polymorph listed for this composition	0.00	eV/f.u.

The structure in extended XYZ format:
```
12
Lattice="-2.626 1.348 -2.182 -2.105 -2.918 0.730 -4.294 5.193 8.377" Properties=species:S:1:pos:R:3 pbc="T T T"
Zr 0.000 0.000 0.000
Zn -1.462 1.768 2.852
Zn -2.832 3.425 5.525
Ni -2.365 -0.785 -0.726
Ni -3.817 0.970 2.105
Ni -5.208 2.653 4.819
Ni -2.081 1.603 0.407
Ni -3.460 3.270 3.097
Ni -4.839 4.938 5.787
Ni -1.820 -0.530 1.863
Ni -3.199 1.137 4.553
Ni -4.578 2.805 7.244
```

Computed, not measured: an optimized crystal structure of PrTm2Co9 at the PBE level of DFT.

raw total energy	-6.63	eV/atom
density of states at the Fermi level	17.00	states/eV/f.u.
space group	R-3m
energy relative to the elements	-0.159	eV per atom

The structure in extended XYZ format:
```
12
Lattice="-0.420 0.179 4.995 -1.050 -4.171 2.579 7.382 -2.870 3.242" Properties=species:S:1:pos:R:3 pbc="T T T"
Pr 0.000 0.000 0.000
Tm 1.852 -4.642 7.877
Tm 4.060 -2.220 2.939
Co -0.929 -2.672 5.054
Co 6.841 -4.191 5.762
Co 2.956 -3.431 5.408
Co 1.232 -2.370 3.947
Co 1.019 -2.279 6.482
Co 0.699 -4.487 5.256
Co 4.679 -4.492 6.869
Co 5.213 -2.375 5.560
Co 4.893 -4.583 4.334
```

Computed, not measured: an optimized crystal structure of DyZnPb at the PBE level of DFT.

raw total energy	-3.50	eV/atom
density of states at the Fermi level	1.77	states/eV/f.u.
space group	Cmcm
energy relative to the elements	-0.302	eV per atom

The structure in extended XYZ format:
```
6
Lattice="-3.128 1.434 2.508 0.285 -3.585 2.405 5.394 5.460 3.607" Properties=species:S:1:pos:R:3 pbc="T T T"
Dy 1.190 -1.166 3.959
Dy 1.360 4.474 4.562
Zn 2.519 1.601 4.034
Zn 0.032 1.707 4.486
Pb -1.842 0.466 2.858
Pb 4.393 2.843 5.662
```

Computed, not measured: an optimized crystal structure of AlCrFe2N at the PBE level of DFT.

raw total energy	-8.03	eV/atom
density of states at the Fermi level	3.94	states/eV/f.u.
space group	P4/mmm
raw formation energy	-1.52	eV per formula unit

The structure in extended XYZ format:
```
5
Lattice="-2.943 -0.166 -2.391 2.394 -0.405 -2.917 -0.127 -3.762 0.418" Properties=species:S:1:pos:R:3 pbc="T T T"
Cr -0.063 -1.881 0.209
N 0.000 0.000 0.000
Fe 1.197 -0.202 -1.459
Fe -1.471 -0.083 -1.196
Al -0.338 -2.166 -2.446
```

Computed, not measured: an optimized crystal structure of BHPb at the PBE level of DFT.

raw total energy	-3.90	eV/atom
density of states at the Fermi level	0.71	states/eV/f.u.
space group	Pnma
energy relative to the lowest polymorph listed for this composition	1.39	eV/f.u.

The structure in extended XYZ format:
```
12
Lattice="-5.657 -0.031 -4.358 -1.023 -3.419 1.352 -3.470 2.811 4.485" Properties=species:S:1:pos:R:3 pbc="T T T"
Pb -3.459 0.071 0.256
Pb -4.440 -0.226 4.149
Pb -6.691 -0.710 1.223
Pb -5.710 -0.413 -2.670
H -7.587 0.762 -1.120
H -4.249 -2.342 -1.057
H -2.563 -1.401 2.598
H -5.901 1.703 2.536
B -7.883 1.271 -0.056
B -5.205 -1.836 -0.502
B -2.267 -1.910 1.535
B -4.945 1.197 1.981
```

Computed, not measured: an optimized crystal structure of CdP at the PBE level of DFT.

raw total energy	-2.85	eV/atom
density of states at the Fermi level	1.62	states/eV/f.u.
space group	F-43m
energy relative to the elements	0.312	eV per atom
energy relative to the lowest polymorph listed for this composition	0.71	eV/f.u.

The structure in extended XYZ format:
```
2
Lattice="-1.752 0.817 -3.706 -3.141 -2.378 -1.397 -3.876 1.553 -0.183" Properties=species:S:1:pos:R:3 pbc="T T T"
Cd 0.000 0.000 0.000
P -6.577 -0.006 -3.964
```